[1]
Computed, not measured: Ba4SiAuBr2 after structural relaxation at the PBE-GGA level of DFT.

abc: 4.8232 8.1804 8.6297
angles: 107.83 90.00 90.00
Positions (direct):
1 Ba 0.5000 0.2498 0.2263
2 Ba 0.5000 0.7502 0.7737
3 Ba 0.0000 0.2684 0.7813
4 Ba 0.0000 0.7316 0.2187
5 Si 0.5000 0.5000 0.0000
6 Au 0.0000 0.0000 0.0000
7 Br 0.5000 0.0000 0.5000
8 Br 0.0000 0.5000 0.5000

Results
Total DFT energy (no corrections) ... -3.57 eV per atom
SG ... P2/m (10)
Formation energy from raw total energies ... -1.10 eV per atom

---

[2]
Computed, not measured: Li2FeRu after structural relaxation at the PBE-GGA level of DFT.

abc: 4.5628 2.5065 4.6046
angles: 86.53 90.00 90.00
Each line ends with the local moment (μB).
Positions (direct):
1 Fe 0.5000 0.7500 0.7500  2.55
2 Li 0.0000 0.9814 0.0066  -0.04
3 Li 0.0000 0.5186 0.4934  -0.04
4 Ru 0.5000 0.2500 0.2500  0.26

Results
Formation energy ... 0.174 eV per atom
Total DFT energy (no corrections) ... -5.22 eV per atom
ΔE to the lowest computed polymorph ... 21 meV/atom
SG ... P2/m (10)

---

[3]
Computed, not measured: ScSi2W after structural relaxation at the PBE-GGA level of DFT.

abc: 6.8507 6.8507 6.8507
angles: 29.67 29.67 29.67
Positions (direct):
1 Sc 0.7500 0.7500 0.7500
2 Si 0.9932 0.9932 0.9932
3 Si 0.5068 0.5068 0.5068
4 W 0.2500 0.2500 0.2500

Results
Total DFT energy (no corrections) ... -7.69 eV per atom
ΔE to the lowest computed polymorph ... 231 meV/atom
SG ... R-3m (166)
Formation energy from raw total energies ... -0.15 eV per atom

---

[4]
Computed, not measured: MgPd7Au3 after structural relaxation at the PBE-GGA level of DFT.

abc: 6.3338 4.8723 7.3721
angles: 97.08 74.45 120.93
Positions (direct):
1 Mg 0.9994 0.0017 0.0111
2 Pd 0.8363 0.8347 0.6727
3 Pd 0.9216 0.4211 0.8431
4 Pd 0.5909 0.0981 0.1731
5 Pd 0.4191 0.9202 0.8427
6 Pd 0.3372 0.3362 0.6751
7 Pd 0.0837 0.5883 0.1739
8 Pd 0.1679 0.1652 0.3393
9 Au 0.7524 0.2462 0.5005
10 Au 0.5071 0.5122 0.0152
11 Au 0.2594 0.7510 0.5031

Results
Formation energy ... -0.139 eV per atom
Total DFT energy (no corrections) ... -4.48 eV per atom
SG ... P1 (1)

---

[5]
Computed, not measured: La3Dy3Er5 after structural relaxation at the PBE-GGA level of DFT.

abc: 5.3353 9.6642 9.6642
angles: 120.00 90.00 90.00
Positions (direct):
1 La 0.5000 0.6414 0.6414
2 La 0.5000 0.0000 0.3586
3 La 0.5000 0.3586 0.0000
4 Dy 0.0000 0.4820 0.4820
5 Dy 0.0000 0.5180 0.0000
6 Dy 0.0000 0.0000 0.5180
7 Er 0.5000 0.3333 0.6667
8 Er 0.5000 0.6667 0.3333
9 Er 0.5000 0.2788 0.2788
10 Er 0.5000 0.0000 0.7212
11 Er 0.5000 0.7212 0.0000

Results
Formation energy ... 0.790 eV per atom
Total DFT energy (no corrections) ... -3.88 eV per atom
SG ... P-62m (189)

---

[6]
Computed, not measured: Tb2Nd3SmSe6 after structural relaxation at the PBE-GGA level of DFT.

abc: 7.2165 7.2165 7.2788
angles: 99.49 99.49 120.27
Positions (direct):
1 Tb 0.3337 0.6663 0.0000
2 Tb 0.6663 0.3337 0.0000
3 Nd 0.1637 0.8363 0.5000
4 Nd 0.8363 0.1637 0.5000
5 Nd 0.5000 0.5000 0.5000
6 Sm 0.0000 0.0000 0.0000
7 Se 0.9199 0.5818 0.7592
8 Se 0.7414 0.7414 0.2385
9 Se 0.0801 0.4182 0.2408
10 Se 0.5818 0.9199 0.7592
11 Se 0.2586 0.2586 0.7615
12 Se 0.4182 0.0801 0.2408

Results
Total DFT energy (no corrections) ... -5.92 eV per atom
SG ... C2/m (12)
Formation energy from raw total energies ... -1.82 eV per atom

---

[7]
Computed, not measured: TlRuCl4 after structural relaxation at the PBE-GGA level of DFT.

abc: 5.9600 6.4781 8.4773
angles: 104.92 110.59 90.00
Each line ends with the local moment (μB).
Positions (direct):
1 Tl 0.8071 0.7500 0.0000  0.01
2 Tl 0.1929 0.2500 0.0000  0.01
3 Ru 0.5000 0.0000 0.5000  0.77
4 Ru 0.0000 0.5000 0.5000  0.77
5 Cl 0.5293 0.0695 0.7954  0.03
6 Cl 0.7338 0.4305 0.2046  0.03
7 Cl 0.4707 0.9305 0.2046  0.03
8 Cl 0.2662 0.5695 0.7954  0.03
9 Cl 0.8720 0.8464 0.5891  0.04
10 Cl 0.2829 0.6536 0.4109  0.04
11 Cl 0.1280 0.1536 0.4109  0.04
12 Cl 0.7171 0.3464 0.5891  0.04

Results
Total DFT energy (no corrections) ... -3.81 eV per atom
ΔE to the lowest computed polymorph ... 0 meV/atom
SG ... C2/c (15)
Formation energy from raw total energies ... -0.64 eV per atom

---

[8]
Computed, not measured: GeF4 after structural relaxation at the PBE-GGA level of DFT.

abc: 3.8067 3.8067 3.8067
angles: 90.00 90.00 90.00
Each line ends with the local moment (μB).
Positions (direct):
1 Ge 0.5000 0.5000 0.5000  0.00
2 F 0.0000 0.0000 0.0000  0.30
3 F 0.5000 0.0000 0.5000  0.00
4 F 0.0000 0.5000 0.5000  0.00
5 F 0.5000 0.5000 0.0000  0.00

Results
Total DFT energy (no corrections) ... -4.06 eV per atom
SG ... Pm-3m (221)
Formation energy from raw total energies ... -1.64 eV per atom